Record 1
A relaxed structure of SmHoAg2S4. Source: the Alexandria database, functional PBE.

raw total energy	-5.21	eV/atom
density of states at the Fermi level	0.000	states/eV per cell

a = 6.533 Å, b = 4.068 Å, c = 7.032 Å
α = 90.00°, β = 110.36°, γ = 90.00°
Atoms (fractional coordinates):
Sm 0.000 0.000 0.000
Ho 0.000 0.500 0.500
Ag 0.500 0.000 0.500
Ag 0.500 0.500 0.000
S 0.242 0.000 0.739
S 0.244 0.500 0.251
S 0.756 0.500 0.749
S 0.758 0.000 0.261


Record 2
A relaxed structure of SmHo2Ag3S6. Source: the Alexandria database, functional PBE.

raw total energy	-5.23	eV/atom
density of states at the Fermi level	0.000	states/eV per cell

a = 8.022 Å, b = 8.022 Å, c = 9.549 Å
α = 105.33°, β = 105.33°, γ = 29.36°
Atoms (fractional coordinates):
Sm 0.000 0.000 0.000
Ho 0.334 0.334 0.663
Ho 0.666 0.666 0.337
Ag 0.000 0.000 0.500
Ag 0.326 0.326 0.059
Ag 0.674 0.674 0.941
S 0.158 0.158 0.520
S 0.186 0.186 0.146
S 0.489 0.489 0.198
S 0.511 0.511 0.802
S 0.814 0.814 0.854
S 0.842 0.842 0.480


Record 3
A relaxed structure of HoAgSn2S4. Source: the Alexandria database, functional PBE.

raw total energy	-4.79	eV/atom

a = 6.878 Å, b = 4.024 Å, c = 7.128 Å
α = 90.00°, β = 109.26°, γ = 90.00°
Atoms (fractional coordinates):
Ho 0.000 0.000 0.000
Ag 0.500 0.500 0.000
Sn 0.000 0.500 0.500
Sn 0.500 0.000 0.500
S 0.235 0.500 0.234
S 0.248 0.000 0.766
S 0.752 0.000 0.234
S 0.765 0.500 0.766


Record 4
A relaxed structure of HoAgSnS4. Source: the Alexandria database, functional PBE.

raw total energy	-4.90	eV/atom
density of states at the Fermi level	1.189	states/eV per cell

a = 7.828 Å, b = 7.828 Å, c = 7.828 Å
α = 120.56°, β = 119.31°, γ = 90.11°
Atoms (fractional coordinates):
Ho 0.000 0.000 0.000
Ho 0.500 0.000 0.500
Ag 0.371 0.621 0.750
Ag 0.629 0.379 0.250
Sn 0.000 0.000 0.500
Sn 0.000 0.500 0.000
S 0.226 0.249 0.977
S 0.227 0.751 0.477
S 0.234 0.222 0.488
S 0.234 0.746 0.012
S 0.766 0.254 0.988
S 0.766 0.778 0.512
S 0.773 0.249 0.523
S 0.774 0.751 0.023


Record 5
A relaxed structure of HoAg3Sn3S8. Source: the Alexandria database, functional PBE.

raw total energy	-4.42	eV/atom
density of states at the Fermi level	3.798	states/eV per cell

a = 7.706 Å, b = 7.706 Å, c = 7.706 Å
α = 60.38°, β = 60.38°, γ = 60.38°
Atoms (fractional coordinates):
Ho 0.000 0.000 0.000
Ag 0.000 0.000 0.500
Ag 0.000 0.500 0.000
Ag 0.500 0.000 0.000
Sn 0.000 0.500 0.500
Sn 0.500 0.000 0.500
Sn 0.500 0.500 0.000
S 0.250 0.250 0.250
S 0.250 0.250 0.743
S 0.250 0.743 0.250
S 0.257 0.750 0.750
S 0.743 0.250 0.250
S 0.750 0.257 0.750
S 0.750 0.750 0.257
S 0.750 0.750 0.750


Record 6
A relaxed structure of Sr2HoAgS4. Source: the Alexandria database, functional PBE.

raw total energy	-5.08	eV/atom

a = 7.062 Å, b = 4.119 Å, c = 7.162 Å
α = 90.00°, β = 110.03°, γ = 90.00°
Atoms (fractional coordinates):
Sr 0.000 0.000 0.000
Sr 0.000 0.500 0.500
Ho 0.500 0.000 0.500
Ag 0.500 0.500 0.000
S 0.268 0.500 0.269
S 0.272 0.000 0.746
S 0.728 0.000 0.254
S 0.732 0.500 0.731